No. 1
A geometry-optimized TiSnCl6 structure, computed with PBE.

The structure in POSCAR format:
```
TiSnCl6
1.0
6.529 0.009 0.010
3.258 5.657 0.013
3.256 1.881 5.920
Cl Sn Ti
6 1 1
direct
0.785 0.064 0.771
0.380 0.785 0.771
0.620 0.215 0.229
0.064 0.379 0.771
0.936 0.621 0.229
0.215 0.936 0.229
0.500 0.500 0.500
0.000 0.000 0.000
```

Space group: R-3, No. 148
ΔE to the lowest computed polymorph (meV/atom): 14
Total moment (Bohr magnetons per cell): 0.0

No. 2
A geometry-optimized Ti2SnCl8 structure, computed with PBE.

The structure in POSCAR format:
```
Ti2SnCl8
1.0
6.759 0.415 0.315
0.585 8.044 0.530
0.585 2.676 7.604
Cl Ti Sn
8 2 1
direct
0.231 0.916 0.300
0.695 0.177 0.177
0.769 0.084 0.700
0.216 0.358 0.358
0.231 0.300 0.916
0.784 0.642 0.642
0.769 0.700 0.084
0.305 0.823 0.823
0.352 0.197 0.197
0.648 0.803 0.803
0.000 0.000 0.000
```

Space group: C2/m, No. 12
Energy (eV/atom): -4.4599
Total moment (Bohr magnetons per cell): 2.0

No. 3
A geometry-optimized TiSnCl6 structure, computed with PBE.

The structure in POSCAR format:
```
TiSnCl6
1.0
7.614 0.041 1.829
3.266 4.661 3.193
0.396 -0.371 6.806
Cl Ti Sn
6 1 1
direct
0.781 0.150 0.720
0.781 0.870 0.280
0.219 0.546 0.000
0.219 0.130 0.720
0.219 0.850 0.280
0.781 0.454 0.000
0.000 0.000 0.000
0.500 0.000 0.000
```

Space group: C2/m, No. 12
ΔE to the lowest computed polymorph (meV/atom): 0
Total moment (Bohr magnetons per cell): 0.0

No. 4
A geometry-optimized TiSn2Cl structure, computed with PBE.

The structure in POSCAR format:
```
TiSn2Cl
1.0
4.120 0.000 0.000
0.000 4.120 0.000
2.060 2.060 11.686
Ti Cl Sn
2 2 4
direct
0.000 0.000 0.000
0.750 0.250 0.500
0.250 0.750 0.500
0.500 0.500 0.000
0.634 0.125 0.250
0.375 0.366 0.750
0.875 0.884 0.750
0.116 0.625 0.250
```

Space group: I-42d, No. 122
ΔE to the lowest computed polymorph (meV/atom): 0
Total moment (Bohr magnetons per cell): 4.2

No. 5
A geometry-optimized TiSnCl5 structure, computed with PBE.

The structure in POSCAR format:
```
TiSnCl5
1.0
-0.729 3.686 -0.710
-1.973 -1.803 -7.335
-11.976 -1.533 4.340
Cl Sn Ti
10 2 2
direct
0.750 0.338 0.490
0.750 0.163 0.938
0.250 0.411 0.693
0.250 0.662 0.510
0.250 0.358 0.157
0.250 0.106 0.341
0.250 0.837 0.062
0.750 0.589 0.307
0.750 0.894 0.659
0.750 0.642 0.843
0.750 0.087 0.145
0.250 0.913 0.855
0.250 0.412 0.363
0.750 0.588 0.637
```

Space group: P2_1/m, No. 11
Energy (eV/atom): -4.2386
Total moment (Bohr magnetons per cell): 2.0

No. 6
A geometry-optimized Ti2Sn2Cl structure, computed with PBE.

The structure in POSCAR format:
```
Ti2Sn2Cl
1.0
6.574 0.000 0.000
0.000 6.574 0.000
0.000 0.000 4.669
Ti Sn Cl
4 4 2
direct
0.643 0.143 0.000
0.857 0.643 0.000
0.357 0.857 0.000
0.143 0.357 0.000
0.338 0.162 0.500
0.838 0.338 0.500
0.162 0.662 0.500
0.662 0.838 0.500
0.000 0.000 0.000
0.500 0.500 0.000
```

Space group: P4/mbm, No. 127
Energy (eV/atom): -5.4293
Total moment (Bohr magnetons per cell): 0.0

No. 7
A geometry-optimized TiSn3Cl structure, computed with PBE.

The structure in POSCAR format:
```
TiSn3Cl
1.0
5.347 0.000 0.000
0.000 5.347 0.000
0.000 0.000 5.347
Sn Ti Cl
3 1 1
direct
0.500 0.000 0.000
0.000 0.500 0.000
0.000 0.000 0.500
0.000 0.000 0.000
0.500 0.500 0.500
```

Space group: Pm-3m, No. 221
ΔE to the lowest computed polymorph (meV/atom): 0
Total moment (Bohr magnetons per cell): 0.0

No. 8
A geometry-optimized TiSn3Cl structure, computed with PBE.

The structure in POSCAR format:
```
TiSn3Cl
1.0
-2.904 -4.085 1.509
2.715 -0.280 4.466
-3.404 3.260 2.274
Sn Ti Cl
3 1 1
direct
0.500 0.000 0.000
0.000 0.000 0.500
0.000 0.500 0.000
0.500 0.500 0.500
0.000 0.000 0.000
```

Space group: Pm-3m, No. 221
ΔE to the lowest computed polymorph (meV/atom): 621
Total moment (Bohr magnetons per cell): 0.0

Please write out number 7 again, unchanged.
A geometry-optimized TiSn3Cl structure, computed with PBE.

The structure in POSCAR format:
```
TiSn3Cl
1.0
5.347 0.000 0.000
0.000 5.347 0.000
0.000 0.000 5.347
Sn Ti Cl
3 1 1
direct
0.500 0.000 0.000
0.000 0.500 0.000
0.000 0.000 0.500
0.000 0.000 0.000
0.500 0.500 0.500
```

Space group: Pm-3m, No. 221
ΔE to the lowest computed polymorph (meV/atom): 0
Total moment (Bohr magnetons per cell): 0.0